DFT (PBE) results for Pm2Pr5Mg after structural relaxation.

ΔH_f (0 K) ... 3 meV/atom
Energy above the lowest structure with this stoichiometry ... 0.010 eV/atom
E ... -4.3708 eV/atom

abc: 7.343 11.721 7.361
angles: 90.00 119.90 90.00
Space group Cm (No. 8)
Unique sites:
Pm 0.000 0.239 0.000 x4
Pr 0.154 0.500 0.831 x2
Pr 0.155 0.500 0.314 x2
Pr 0.178 0.000 0.831 x2
Pr 0.497 0.250 0.496 x4
Mg 0.164 0.000 0.329 x2